The following is a DFT calculation (PBE-GGA) of a geometry-optimized Y3Er2In3 structure.

Structure (CIF):
```
data_Y3Er2In3
_space_group_name_H-M_alt 'I m m m'
_space_group_IT_number 71
_space_group_name_Hall '-I 2 2'
_cell_length_a 3.758
_cell_length_b 5.324
_cell_length_c 22.244
_cell_angle_alpha 90.00
_cell_angle_beta 90.00
_cell_angle_gamma 90.00
loop_
_atom_site_label
_atom_site_type_symbol
_atom_site_fract_x
_atom_site_fract_y
_atom_site_fract_z
Y1 Y 0.000 0.000 0.000
Y2 Y 0.000 0.500 0.125
Er1 Er 0.000 0.000 0.235
In1 In 0.000 0.000 0.500
In2 In 0.000 0.500 0.379
```

Computed properties:
**Size of the total moment**: 0.0 μB/f.u.
**D(E_F)**: 0.792 states/eV per atom
**VASP energy**: -0.366 Ry per atom


The following is a DFT calculation (PBE-GGA) of a geometry-optimized Y5Er4In structure.

Structure (CIF):
```
data_Y5Er4In
_space_group_name_H-M_alt 'P 4/m m m'
_space_group_IT_number 123
_space_group_name_Hall '-P 4 2'
_cell_length_a 3.548
_cell_length_b 3.548
_cell_length_c 24.321
_cell_angle_alpha 90.00
_cell_angle_beta 90.00
_cell_angle_gamma 90.00
loop_
_atom_site_label
_atom_site_type_symbol
_atom_site_fract_x
_atom_site_fract_y
_atom_site_fract_z
Y1 Y 0.000 0.000 0.000
Y2 Y 0.000 0.000 0.206
Y3 Y 0.000 0.000 0.413
Er1 Er 0.500 0.500 0.103
Er2 Er 0.500 0.500 0.309
In1 In 0.500 0.500 0.500
```

Computed properties:
**Energy relative to the lowest polymorph listed for this composition**: 0.00 eV/f.u.
**Size of the total moment**: 0.0 μB/f.u.
**D(E_F)**: 1.375 states/eV per atom
**VASP energy**: -0.398 Ry per atom


The following is a DFT calculation (PBE-GGA) of a geometry-optimized Y7Er12In structure.

Structure (CIF):
```
data_Y7Er12In
_space_group_name_H-M_alt 'R -3'
_space_group_IT_number 148
_space_group_name_Hall '-R 3'
_cell_length_a 12.0466
_cell_length_b 12.0466
_cell_length_c 15.1511
_cell_angle_alpha 90.00
_cell_angle_beta 90.00
_cell_angle_gamma 120.00
loop_
_atom_site_label
_atom_site_type_symbol
_atom_site_fract_x
_atom_site_fract_y
_atom_site_fract_z
Y1 Y 0.0000 0.0000 0.0000
Y2 Y 0.0500 0.8622 0.3029
Er1 Er 0.0317 0.5783 0.2079
Er2 Er 0.0582 0.4715 0.5871
In1 In 0.0000 0.0000 0.5000
```

Computed properties:
**Size of the total moment**: 0.2 μB/f.u.
**D(E_F)**: 1.968 states/eV per atom
**VASP energy**: -0.366 Ry per atom


The following is a DFT calculation (PBE-GGA) of a geometry-optimized Y2Er2In structure.

Structure (CIF):
```
data_Y2Er2In
_space_group_name_H-M_alt 'C 1 2/m 1'
_space_group_IT_number 12
_space_group_name_Hall '-C 2y'
_cell_length_a 12.007
_cell_length_b 5.415
_cell_length_c 9.358
_cell_angle_alpha 90.00
_cell_angle_beta 105.23
_cell_angle_gamma 90.00
loop_
_atom_site_label
_atom_site_type_symbol
_atom_site_fract_x
_atom_site_fract_y
_atom_site_fract_z
Y1 Y 0.026 0.000 0.341
Y2 Y 0.156 0.000 0.051
Er1 Er 0.024 0.500 0.841
Er2 Er 0.152 0.500 0.552
In1 In 0.250 0.000 0.746
```

Computed properties:
**Energy relative to the lowest polymorph listed for this composition**: 0.00 eV/f.u.
**Size of the total moment**: 0.0 μB/f.u.
**D(E_F)**: 0.727 states/eV per atom
**VASP energy**: -0.378 Ry per atom